PaVZnO6: relaxed, PBE with a Hubbard U.

Properties
Space-group type: P-31c
VASP energy in eV per formula unit: -68.492
Spin magnetization in μB/f.u.: 0.0

POSCAR file:
```
PaVZnO6
1.0
5.399 0.000 0.000
-2.699 4.675 0.000
0.000 0.000 8.761
Pa V Zn O
2 2 2 12
Cartesian
0.000 3.117 2.190 Pa
2.699 1.558 6.570 Pa
0.000 3.117 6.570 V
2.699 1.558 2.190 V
0.000 0.000 0.000 Zn
0.000 0.000 4.380 Zn
-0.792 1.719 5.537 O
-1.606 3.130 7.604 O
0.792 1.719 7.604 O
-0.815 4.501 5.537 O
1.885 0.174 1.157 O
1.093 1.545 3.223 O
1.606 3.130 5.537 O
0.815 4.501 7.604 O
3.514 0.174 3.223 O
1.908 2.956 1.157 O
4.305 1.545 1.157 O
3.491 2.956 3.223 O
```